Entry 1:
Entry from Alexandria: a geometry-optimized Ga12Sn3S5 structure (PBE).

```
Ga12Sn3S5
1.0
-7.9689 7.9689 7.9689
7.9689 -7.9689 7.9689
7.9689 7.9689 -7.9689
Ga Sn S
48 12 20
Direct
0.0488 0.2221 0.1371
0.0488 0.3267 0.9117
0.0850 0.7221 0.6733
0.0850 0.8629 0.4117
0.0883 0.6371 0.4150
0.0883 0.9512 0.6733
0.1371 0.0488 0.2221
0.1371 0.5883 0.9150
0.1733 0.2221 0.5850
0.1733 0.4512 0.5883
0.2221 0.1371 0.0488
0.2221 0.5850 0.1733
0.2779 0.3267 0.9150
0.2779 0.4512 0.3629
0.3267 0.9117 0.0488
0.3267 0.9150 0.2779
0.3629 0.2779 0.4512
0.3629 0.5850 0.9117
0.4117 0.0850 0.8629
0.4117 0.8267 0.5488
0.4150 0.0883 0.6371
0.4150 0.8267 0.7779
0.4512 0.3629 0.2779
0.4512 0.5883 0.1733
0.5488 0.4117 0.8267
0.5488 0.6371 0.7221
0.5850 0.1733 0.2221
0.5850 0.9117 0.3629
0.5883 0.1733 0.4512
0.5883 0.9150 0.1371
0.6371 0.4150 0.0883
0.6371 0.7221 0.5488
0.6733 0.0850 0.7221
0.6733 0.0883 0.9512
0.7221 0.5488 0.6371
0.7221 0.6733 0.0850
0.7779 0.4150 0.8267
0.7779 0.8629 0.9512
0.8267 0.5488 0.4117
0.8267 0.7779 0.4150
0.8629 0.4117 0.0850
0.8629 0.9512 0.7779
0.9117 0.0488 0.3267
0.9117 0.3629 0.5850
0.9150 0.1371 0.5883
0.9150 0.2779 0.3267
0.9512 0.6733 0.0883
0.9512 0.7779 0.8629
0.1250 0.2500 0.3750
0.1250 0.3750 0.7500
0.2500 0.3750 0.1250
0.2500 0.8750 0.6250
0.3750 0.1250 0.2500
0.3750 0.7500 0.1250
0.6250 0.2500 0.8750
0.6250 0.8750 0.7500
0.7500 0.1250 0.3750
0.7500 0.6250 0.8750
0.8750 0.6250 0.2500
0.8750 0.7500 0.6250
0.0000 0.0000 0.0000
0.0000 0.0000 0.5000
0.0000 0.5000 0.0000
0.0000 0.5000 0.5000
0.1250 0.7500 0.8750
0.1250 0.8750 0.2500
0.2500 0.1250 0.8750
0.2500 0.6250 0.3750
0.3750 0.2500 0.6250
0.3750 0.6250 0.7500
0.5000 0.0000 0.0000
0.5000 0.0000 0.5000
0.5000 0.5000 0.0000
0.5000 0.5000 0.5000
0.6250 0.3750 0.2500
0.6250 0.7500 0.3750
0.7500 0.3750 0.6250
0.7500 0.8750 0.1250
0.8750 0.1250 0.7500
0.8750 0.2500 0.1250
```

Results
* DFT total energy: -0.12875 hartree per atom
* M_tot: 0.0 μB per cell
* E_form (uncorrected): -55.2 meV per atom



Entry 2:
Entry from Alexandria: a geometry-optimized Ga2Sn2S5 structure (PBE).

```
Ga2Sn2S5
1.0
12.6853 0.0000 0.0000
0.0000 6.3893 0.0000
0.0000 0.0000 10.9911
Ga Sn S
8 8 20
Direct
0.1819 0.1527 0.0000
0.2317 0.6462 0.8339
0.2683 0.1462 0.3339
0.3181 0.6527 0.5000
0.6819 0.3473 0.0000
0.7317 0.8538 0.8339
0.7683 0.3538 0.3339
0.8181 0.8473 0.5000
0.0188 0.4489 0.4761
0.0390 0.0434 0.6993
0.4610 0.5434 0.1993
0.4812 0.9489 0.9761
0.5188 0.0511 0.4761
0.5390 0.4566 0.6993
0.9610 0.9566 0.1993
0.9812 0.5511 0.9761
0.0066 0.1412 0.9412
0.0612 0.6424 0.7565
0.1727 0.9768 0.1848
0.2121 0.4891 0.3575
0.2266 0.4948 0.0218
0.2734 0.9948 0.5218
0.2879 0.9891 0.8575
0.3273 0.4768 0.6848
0.4388 0.1424 0.2565
0.4934 0.6412 0.4412
0.5066 0.3588 0.9412
0.5612 0.8576 0.7565
0.6727 0.5232 0.1848
0.7121 0.0109 0.3575
0.7266 0.0052 0.0218
0.7734 0.5052 0.5218
0.7879 0.5109 0.8575
0.8273 0.0232 0.6848
0.9388 0.3576 0.2565
0.9934 0.8588 0.4412
```

Results
* offset from the most stable computed form: 0 kJ/mol of formula units
* DFT total energy: -0.16334 hartree per atom
* M_tot: 0.0 μB per cell
* E_form (uncorrected): -589.5 meV per atom



Entry 3:
Entry from Alexandria: a geometry-optimized Ga2Sn2S structure (PBE).

```
Ga2Sn2S
1.0
7.7880 0.0000 0.0000
0.0000 7.7880 0.0000
0.0000 0.0000 3.9467
Ga Sn S
4 4 2
Direct
0.1183 0.3817 0.0000
0.3817 0.8817 0.0000
0.6183 0.1183 0.0000
0.8817 0.6183 0.0000
0.1919 0.6919 0.5000
0.3081 0.1919 0.5000
0.6919 0.8081 0.5000
0.8081 0.3081 0.5000
0.0000 0.0000 0.5000
0.5000 0.5000 0.5000
```

Results
* offset from the most stable computed form: 0 kJ/mol of formula units
* DFT total energy: -0.13237 hartree per atom
* M_tot: 0.0 μB per cell
* E_form (uncorrected): 35.4 meV per atom



Entry 4:
Entry from Alexandria: a geometry-optimized Ga2SnS4 structure (PBE).

```
Ga2SnS4
1.0
-4.6830 4.6830 3.6605
4.6830 -4.6830 3.6605
4.6830 4.6830 -3.6605
Ga Sn S
4 2 8
Direct
0.3750 0.1947 0.3197
0.8053 0.1250 0.1803
0.8750 0.0553 0.6803
0.9447 0.6250 0.8197
0.2500 0.7500 0.5000
0.5000 0.5000 0.0000
0.0567 0.8031 0.1641
0.1075 0.9433 0.7464
0.1110 0.4469 0.7536
0.1969 0.3610 0.2536
0.5531 0.3067 0.6641
0.6390 0.8925 0.8359
0.6425 0.8890 0.3359
0.6933 0.3575 0.2464
```

Results
* offset from the most stable computed form: 0 kJ/mol of formula units
* DFT total energy: -0.15866 hartree per atom
* M_tot: 0.0 μB per cell
* E_form (uncorrected): -522.1 meV per atom



Entry 5:
Entry from Alexandria: a geometry-optimized Ga2Sn2S5 structure (PBE).

```
Ga2Sn2S5
1.0
6.4478 -2.7034 0.0000
6.4478 2.7034 0.0000
-1.0814 0.0000 6.0392
Ga Sn S
2 2 5
Direct
0.1576 0.1576 0.3859
0.8424 0.8424 0.6141
0.3798 0.3798 0.1455
0.6202 0.6202 0.8545
0.0000 0.0000 0.5000
0.1686 0.1686 0.0208
0.3286 0.3286 0.5693
0.6714 0.6714 0.4307
0.8314 0.8314 0.9792
```

Results
* offset from the most stable computed form: 165 kJ/mol of formula units
* DFT total energy: -0.15637 hartree per atom
* M_tot: 0.0 μB per cell
* E_form (uncorrected): -399.8 meV per atom



Entry 6:
Entry from Alexandria: a geometry-optimized SrGa2SnS6 structure (PBE).

```
SrGa2SnS6
1.0
6.7748 -5.7448 0.0000
6.7748 5.7448 0.0000
-3.2351 0.0000 6.7506
Sr Ga Sn S
2 4 2 12
Direct
0.1712 0.8288 0.7500
0.8288 0.1712 0.2500
0.2480 0.3647 0.8259
0.3647 0.2480 0.3259
0.6353 0.7520 0.6741
0.7520 0.6353 0.1741
0.1877 0.8123 0.2500
0.8123 0.1877 0.7500
0.0549 0.1715 0.6527
0.1121 0.6087 0.9349
0.1715 0.0549 0.1527
0.2814 0.4363 0.5688
0.3913 0.8879 0.5651
0.4363 0.2814 0.0688
0.5637 0.7186 0.9312
0.6087 0.1121 0.4349
0.7186 0.5637 0.4312
0.8285 0.9451 0.8473
0.8879 0.3913 0.0651
0.9451 0.8285 0.3473
```

Results
* DFT total energy: -0.16278 hartree per atom
* M_tot: 0.0 μB per cell
* E_form (uncorrected): -779.2 meV per atom



Entry 7:
Entry from Alexandria: a geometry-optimized GaSnTe2S structure (PBE).

```
GaSnTe2S
1.0
5.7361 0.0000 0.0000
0.0000 5.7361 0.0000
0.0000 0.0000 5.0567
Ga Sn Te S
1 1 2 1
Direct
0.0000 0.0000 0.0000
0.5000 0.5000 0.5000
0.0000 0.5000 0.5000
0.5000 0.0000 0.5000
0.5000 0.5000 0.0000
```

Results
* DFT total energy: -0.11753 hartree per atom
* M_tot: 0.0 μB per cell
* E_form (uncorrected): 290.0 meV per atom



Entry 8:
Entry from Alexandria: a geometry-optimized TiGaSn2S structure (PBE).

```
TiGaSn2S
1.0
5.4037 0.0000 0.0000
0.0000 5.4037 0.0000
0.0000 0.0000 4.4985
Ti Ga Sn S
1 1 2 1
Direct
0.0000 0.0000 0.0000
0.5000 0.5000 0.0000
0.0000 0.5000 0.5000
0.5000 0.0000 0.5000
0.0000 0.0000 0.5000
```

Results
* DFT total energy: -0.16169 hartree per atom
* M_tot: 0.8 μB per cell
* E_form (uncorrected): 211.2 meV per atom